DFT (PBE with a Hubbard U) results for a geometry-optimized Tc2Mo2O structure.

Cell and atoms, written as POSCAR:
```
Tc2Mo2O
1.0
-2.5749 5.1879 4.1256
2.6634 -3.2432 5.7406
2.6986 1.6112 -0.3418
O Mo Tc
2 4 4
Direct
0.0000 0.0000 0.0000 O
0.5000 0.5000 0.0000 O
0.8485 0.3485 0.5000 Mo
0.3485 0.1515 0.5000 Mo
0.6515 0.8485 0.5000 Mo
0.1515 0.6515 0.5000 Mo
0.3557 0.8557 0.0000 Tc
0.6443 0.1443 0.0000 Tc
0.1443 0.3557 0.0000 Tc
0.8557 0.6443 0.0000 Tc
```

Results
- Space-group type: P4/mbm, No. 127
- VASP energy: -34.1 eV/f.u.
- Excess energy over the best structure of this formula in the dataset: 0.0 meV/atom
- Crystal system: tetragonal